Record 1
{"formula": "Ba11TlPd2", "functional": "PBE-GGA", "state": "relaxed", "cell": [[-10.0707, -6.8525, -4.0637], [-2.5385, -11.5245, 5.4364], [-11.4784, 1.3124, 5.9446]], "species": ["Tl", "Ba", "Ba", "Pd", "Pd", "Ba", "Ba", "Ba", "Ba", "Ba", "Ba", "Ba", "Ba", "Tl", "Ba", "Ba", "Ba", "Pd", "Ba", "Ba", "Ba", "Ba", "Ba", "Ba", "Ba", "Ba", "Pd", "Ba"], "fractional_positions": [[0.7500, 0.7500, 0.7500], [0.6348, 0.2779, 0.7221], [0.4070, 0.8203, 0.9228], [0.8510, 0.1700, 0.8300], [0.1490, 0.8300, 0.1700], [0.1501, 0.0772, 0.1797], [0.3652, 0.7221, 0.2779], [0.9531, 0.8662, 0.4487], [0.0469, 0.1338, 0.5513], [0.5930, 0.1797, 0.0772], [0.4531, 0.9487, 0.3662], [0.9070, 0.4228, 0.3203], [0.7680, 0.6338, 0.0513], [0.2500, 0.2500, 0.2500], [0.6501, 0.6797, 0.5772], [0.3499, 0.3203, 0.4228], [0.8499, 0.9228, 0.8203], [0.3510, 0.3300, 0.6700], [0.5469, 0.0513, 0.6338], [0.0930, 0.5772, 0.6797], [0.7320, 0.4487, 0.8662], [0.2320, 0.3662, 0.9487], [0.1348, 0.2221, 0.7779], [0.0000, 0.0000, 0.0000], [0.8652, 0.7779, 0.2221], [0.5000, 0.5000, 0.5000], [0.6490, 0.6700, 0.3300], [0.2680, 0.5513, 0.1338]], "sg": "No. 72", "e_tot_ev_per_atom": -2.489}

---

Record 2
{"formula": "Ba8Tl2Pd", "functional": "PBE-GGA", "state": "relaxed", "cell": [[6.0144, 0.0000, 0.0000], [0.0000, 8.1509, 0.1796], [-3.0072, -3.2836, 10.0933]], "species": ["Ba", "Ba", "Tl", "Ba", "Ba", "Ba", "Ba", "Ba", "Pd", "Tl", "Ba"], "fractional_positions": [[0.4070, 0.5836, 0.8139], [0.5930, 0.4164, 0.1861], [0.8162, 0.2882, 0.6323], [0.0296, 0.8009, 0.0592], [0.3450, 0.0435, 0.6900], [0.7896, 0.6990, 0.5792], [0.6550, 0.9565, 0.3100], [0.2104, 0.3010, 0.4208], [0.5000, 0.0000, 0.0000], [0.1838, 0.7118, 0.3677], [0.9704, 0.1991, 0.9408]], "sg": "No. 12", "e_tot_ev_per_atom": -2.548, "polymorph_energy_mev_per_atom": 3.0}

---

Record 3
{"formula": "BaTl2Pd", "functional": "PBE-GGA", "state": "relaxed", "cell": [[5.4287, 0.0000, 0.0000], [0.0000, 5.4287, 0.0000], [2.7144, 2.7144, 9.6447]], "species": ["Tl", "Ba", "Tl", "Pd", "Ba", "Tl", "Pd", "Tl"], "fractional_positions": [[0.4726, 0.1250, 0.2500], [0.7500, 0.2500, 0.5000], [0.3750, 0.5274, 0.7500], [0.2500, 0.7500, 0.5000], [0.0000, 0.0000, 0.0000], [0.8750, 0.7226, 0.7500], [0.5000, 0.5000, 0.0000], [0.2774, 0.6250, 0.2500]], "sg": "No. 122", "e_tot_ev_per_atom": -3.111}

---

Record 4
{"formula": "Ba12Tl3Pd5", "functional": "PBE-GGA", "state": "relaxed", "cell": [[-7.0597, 15.0340, -3.7077], [-1.3771, -2.9483, 16.7038], [16.4417, 0.2180, -4.3853]], "species": ["Ba", "Ba", "Tl", "Pd", "Ba", "Ba", "Ba", "Pd", "Ba", "Ba", "Pd", "Pd", "Ba", "Ba", "Ba", "Ba", "Ba", "Pd", "Tl", "Pd", "Tl", "Ba", "Pd", "Pd", "Ba", "Ba", "Tl", "Ba", "Pd", "Ba", "Pd", "Pd", "Ba", "Pd", "Tl", "Ba", "Ba", "Pd", "Ba", "Pd", "Ba", "Pd", "Ba", "Tl", "Pd", "Pd", "Ba", "Tl", "Pd", "Tl", "Ba", "Ba", "Ba", "Ba", "Tl", "Ba", "Tl", "Ba", "Ba", "Ba", "Ba", "Ba", "Ba", "Tl", "Pd", "Ba", "Ba", "Ba", "Ba", "Ba", "Ba", "Ba", "Ba", "Ba", "Tl", "Ba", "Ba", "Pd", "Ba", "Ba"], "fractional_positions": [[0.1252, 0.4140, 0.0907], [0.4654, 0.6766, 0.0907], [0.7500, 0.8750, 0.6250], [0.1250, 0.3750, 0.2500], [0.4093, 0.3748, 0.5860], [0.7112, 0.5860, 0.1766], [0.0907, 0.1766, 0.4654], [0.6250, 0.8750, 0.2500], [0.8234, 0.9140, 0.2888], [0.8748, 0.5860, 0.9093], [0.0000, 0.5000, 0.5000], [0.0000, 0.5000, 0.0000], [0.3234, 0.7888, 0.4140], [0.8748, 0.2888, 0.4654], [0.4093, 0.0346, 0.3234], [0.6252, 0.0346, 0.2112], [0.2112, 0.6766, 0.0860], [0.2500, 0.8750, 0.1250], [0.8750, 0.1250, 0.2500], [0.0000, 0.0000, 0.0000], [0.7500, 0.3750, 0.1250], [0.0346, 0.6252, 0.7112], [0.5000, 0.5000, 0.5000], [0.5000, 0.5000, 0.0000], [0.9140, 0.8234, 0.7888], [0.6766, 0.4654, 0.5907], [0.1250, 0.8750, 0.7500], [0.6766, 0.2112, 0.5860], [0.1250, 0.7500, 0.3750], [0.5860, 0.8748, 0.4093], [0.3750, 0.2500, 0.1250], [0.3750, 0.1250, 0.7500], [0.9093, 0.8234, 0.5346], [0.2500, 0.3750, 0.6250], [0.6250, 0.2500, 0.3750], [0.1766, 0.0907, 0.9654], [0.2112, 0.5346, 0.6252], [0.8750, 0.6250, 0.7500], [0.3234, 0.5346, 0.4093], [0.5000, 0.0000, 0.0000], [0.1252, 0.7112, 0.5346], [0.7500, 0.1250, 0.8750], [0.5907, 0.9654, 0.6766], [0.2500, 0.6250, 0.8750], [0.0000, 0.0000, 0.5000], [0.8750, 0.2500, 0.6250], [0.9140, 0.0907, 0.6252], [0.2500, 0.1250, 0.3750], [0.7500, 0.6250, 0.3750], [0.8750, 0.7500, 0.1250], [0.7888, 0.4654, 0.3748], [0.4140, 0.2888, 0.3234], [0.6252, 0.5907, 0.9140], [0.5346, 0.3234, 0.9093], [0.3750, 0.6250, 0.2500], [0.1766, 0.0860, 0.7112], [0.1250, 0.2500, 0.8750], [0.5907, 0.6252, 0.4140], [0.3748, 0.4093, 0.0860], [0.2888, 0.4140, 0.8234], [0.9654, 0.5907, 0.1766], [0.0860, 0.9093, 0.3748], [0.7888, 0.3234, 0.9140], [0.3750, 0.7500, 0.6250], [0.6250, 0.7500, 0.8750], [0.7112, 0.1252, 0.0346], [0.0907, 0.9140, 0.1252], [0.4140, 0.1252, 0.5907], [0.5346, 0.2112, 0.1252], [0.2888, 0.8748, 0.9654], [0.8234, 0.9093, 0.0346], [0.5860, 0.7112, 0.6766], [0.9093, 0.0860, 0.8748], [0.0860, 0.1766, 0.2112], [0.6250, 0.3750, 0.7500], [0.0346, 0.4093, 0.8234], [0.9654, 0.3748, 0.2888], [0.5000, 0.0000, 0.5000], [0.4654, 0.7888, 0.8748], [0.3748, 0.9654, 0.7888]], "sg": "No. 230", "e_tot_ev_per_atom": -3.077}

---

Record 5
{"formula": "BaTl12Pd5", "functional": "PBE-GGA", "state": "relaxed", "cell": [[7.8265, -0.6699, -3.4102], [-4.2690, 7.2139, -1.7515], [-0.4011, 0.6699, 8.5278]], "species": ["Pd", "Tl", "Tl", "Tl", "Tl", "Tl", "Tl", "Ba", "Tl", "Pd", "Tl", "Tl", "Tl", "Pd", "Pd", "Tl", "Pd", "Tl"], "fractional_positions": [[0.5000, 0.8778, 0.3778], [0.3099, 0.3182, 0.6281], [0.6901, 0.6818, 0.3719], [0.1866, 0.4150, 0.2284], [0.0950, 0.8222, 0.2729], [0.5493, 0.8222, 0.7271], [0.9050, 0.1778, 0.7271], [0.0000, 0.5000, 0.5000], [0.8134, 0.5850, 0.7716], [0.3378, 0.3378, 0.0000], [0.3099, 0.6818, 0.9917], [0.4507, 0.1778, 0.2729], [0.1866, 0.9583, 0.7716], [0.6622, 0.6622, 0.0000], [0.0000, 0.0000, 0.0000], [0.8134, 0.0417, 0.2284], [0.5000, 0.1222, 0.6222], [0.6901, 0.3182, 0.0083]], "sg": "No. 71", "e_tot_ev_per_atom": -3.256}

---

Record 6
{"formula": "Ba2TlPd", "functional": "PBE-GGA", "state": "relaxed", "cell": [[-5.7678, 2.0965, -6.6612], [-6.7907, -3.6992, 4.7157], [-6.9590, 2.5357, 0.6661]], "species": ["Ba", "Ba", "Tl", "Tl", "Pd", "Ba", "Ba", "Pd"], "fractional_positions": [[0.5739, 0.1250, 0.2500], [0.8750, 0.8239, 0.7500], [0.0000, 0.0000, 0.0000], [0.7500, 0.2500, 0.5000], [0.2500, 0.7500, 0.5000], [0.3750, 0.4261, 0.7500], [0.1761, 0.6250, 0.2500], [0.5000, 0.5000, 0.0000]], "sg": "No. 122", "e_tot_ev_per_atom": -3.045, "polymorph_energy_mev_per_atom": 233.5}

---

Record 7
{"formula": "Ba2TlPd", "functional": "PBE-GGA", "state": "relaxed", "cell": [[4.4135, 0.0000, 0.0000], [2.2067, 3.8222, 0.0000], [2.2067, 1.2741, 11.0272]], "species": ["Ba", "Tl", "Ba", "Pd"], "fractional_positions": [[0.1110, 0.1110, 0.6672], [0.0000, 0.0000, 0.0000], [0.8890, 0.8890, 0.3328], [0.5000, 0.5000, 0.5000]], "sg": "No. 166", "e_tot_ev_per_atom": -3.023, "polymorph_energy_mev_per_atom": 255.3}

---

Record 8
{"formula": "Ba6Tl5Pd", "functional": "PBE-GGA", "state": "relaxed", "cell": [[-3.6663, 4.4270, -1.4717], [-1.7813, 1.2516, 8.2044], [4.0803, 8.6790, 3.9528]], "species": ["Pd", "Ba", "Tl", "Ba", "Tl", "Ba", "Ba", "Ba", "Tl", "Tl", "Ba", "Tl"], "fractional_positions": [[0.0000, 0.0000, 0.0000], [0.1556, 0.9186, 0.6894], [0.0000, 0.5000, 0.0000], [0.5000, 0.2330, 0.9999], [0.6731, 0.6733, 0.6537], [0.8444, 0.6079, 0.3108], [0.5000, 0.7670, 0.0001], [0.1556, 0.3921, 0.6892], [0.3269, 0.3267, 0.3463], [0.3152, 0.8157, 0.3689], [0.8444, 0.0814, 0.3106], [0.6848, 0.1843, 0.6311]], "sg": "No. 12", "e_tot_ev_per_atom": -2.776}

---

no.,formation enthalpy at 0 K (eV per atom)
1,-0.0670
2,-0.2472
3,-0.1488
4,-0.2701
5,-0.1291
6,-0.1937
7,-0.1720
8,-0.3955